Record 1
SrPaTe3: relaxed, GGA-PBE.

a = 4.5538 Å, b = 8.4736 Å, c = 17.8169 Å
α = 90.00°, β = 90.00°, γ = 90.00°
Site moments in Bohr magnetons follow the coordinates.
Sites, in units of the cell vectors:
Te (0.7500, 0.8229, 0.2099)  -0.02
Te (0.7500, 0.1232, 0.0584)  -0.03
Te (0.2500, 0.6771, 0.7099)  -0.02
Te (0.7500, 0.9933, 0.5956)  -0.04
Te (0.2500, 0.0067, 0.4044)  -0.04
Te (0.7500, 0.4933, 0.9044)  -0.04
Te (0.7500, 0.6232, 0.4416)  -0.03
Te (0.2500, 0.5067, 0.0956)  -0.04
Te (0.2500, 0.8768, 0.9416)  -0.03
Te (0.2500, 0.3768, 0.5584)  -0.03
Te (0.2500, 0.1771, 0.7901)  -0.02
Te (0.7500, 0.3229, 0.2901)  -0.02
Sr (0.2500, 0.1125, 0.2049)  0.00
Sr (0.7500, 0.3875, 0.7049)  0.00
Sr (0.2500, 0.6125, 0.2951)  0.00
Sr (0.7500, 0.8875, 0.7951)  0.00
Pa (0.2500, 0.7649, 0.5410)  1.00
Pa (0.7500, 0.7351, 0.0410)  1.00
Pa (0.7500, 0.2351, 0.4590)  1.00
Pa (0.2500, 0.2649, 0.9590)  1.00

Calculated values
Raw total energy (eV/atom): -5.280
Symmetry: Pnma

***

Record 2
Sr2PaTl3Te6: relaxed, GGA-PBE.

a = 8.0675 Å, b = 8.0675 Å, c = 8.5130 Å
α = 99.06°, β = 99.06°, γ = 119.76°
Sites, in units of the cell vectors:
Te (0.7720, 0.7720, 0.2257)
Te (0.3771, 0.0733, 0.2192)
Te (0.6229, 0.9267, 0.7808)
Te (0.0733, 0.3771, 0.2192)
Te (0.9267, 0.6229, 0.7808)
Te (0.2280, 0.2280, 0.7743)
Sr (0.6659, 0.3341, 0.0000)
Sr (0.3341, 0.6659, 0.0000)
Tl (0.5000, 0.5000, 0.5000)
Tl (0.1688, 0.8312, 0.5000)
Tl (0.8312, 0.1688, 0.5000)
Pa (0.0000, 0.0000, 0.0000)

Calculated values
Raw total energy (eV/atom): -4.207
Symmetry: C2/m

***

Record 3
Sr2PaZnTe5: relaxed, GGA-PBE.

a = 4.4332 Å, b = 10.1370 Å, c = 13.8329 Å
α = 90.00°, β = 90.00°, γ = 102.63°
Site moments in Bohr magnetons follow the coordinates.
Sites, in units of the cell vectors:
Te (0.6442, 0.2883, 0.5062)  -0.02
Te (0.9512, 0.9024, 0.5485)  -0.02
Te (0.5009, 0.0018, 0.7723)  0.00
Te (0.7068, 0.4137, 0.1725)  -0.02
Te (0.6934, 0.3869, 0.8603)  -0.02
Te (0.0488, 0.0976, 0.0485)  -0.02
Te (0.2932, 0.5863, 0.6725)  -0.02
Te (0.4991, 0.9982, 0.2723)  0.00
Te (0.3558, 0.7117, 0.0062)  -0.02
Te (0.3066, 0.6131, 0.3603)  -0.02
Pa (0.2018, 0.4036, 0.0182)  0.96
Pa (0.7982, 0.5964, 0.5182)  0.96
Sr (0.8803, 0.7607, 0.8213)  0.00
Sr (0.8866, 0.7732, 0.1858)  0.00
Sr (0.1134, 0.2268, 0.6858)  0.00
Sr (0.1197, 0.2393, 0.3213)  0.00
Zn (0.4369, 0.8737, 0.4388)  0.00
Zn (0.5631, 0.1263, 0.9388)  0.00

Calculated values
Raw total energy (eV/atom): -4.431
Symmetry: Cmc2_1

***

Record 4
SrPaZn17: relaxed, GGA-PBE.

a = 6.8570 Å, b = 6.8570 Å, c = 6.8570 Å
α = 82.75°, β = 82.75°, γ = 82.75°
Site moments in Bohr magnetons follow the coordinates.
Sites, in units of the cell vectors:
Zn (0.7074, 0.9985, 0.2951)  0.00
Zn (0.0955, 0.0955, 0.0955)  0.00
Zn (0.8335, 0.3561, 0.3561)  0.00
Zn (0.9985, 0.2951, 0.7074)  0.00
Zn (0.4998, 0.0002, 0.0002)  0.00
Zn (0.3561, 0.3561, 0.8335)  0.00
Zn (0.3561, 0.8335, 0.3561)  0.00
Zn (0.2951, 0.7074, 0.9985)  0.00
Zn (0.0002, 0.4998, 0.0002)  0.00
Zn (0.2951, 0.9985, 0.7074)  0.00
Zn (0.8971, 0.8971, 0.8971)  0.00
Zn (0.6519, 0.6519, 0.1536)  0.00
Zn (0.6519, 0.1536, 0.6519)  0.00
Zn (0.7074, 0.2951, 0.9985)  0.00
Zn (0.0002, 0.0002, 0.4998)  0.00
Zn (0.9985, 0.7074, 0.2951)  0.00
Zn (0.1536, 0.6519, 0.6519)  0.00
Pa (0.6639, 0.6639, 0.6639)  0.64
Sr (0.3383, 0.3383, 0.3383)  -0.01

Calculated values
Raw total energy (eV/atom): -1.870
Symmetry: R3m

***

Record 5
PaTa2: relaxed, GGA-PBE.

a = 3.4160 Å, b = 3.4160 Å, c = 5.8420 Å
α = 107.00°, β = 107.00°, γ = 90.00°
Sites, in units of the cell vectors:
Ta (0.3251, 0.3251, 0.6502)
Ta (0.6749, 0.6749, 0.3498)
Pa (0.0000, 0.0000, 0.0000)

Calculated values
Raw total energy (eV/atom): -10.842
Symmetry: I4/mmm

***

Record 6
Pa8Ta: relaxed, GGA-PBE.

a = 4.5429 Å, b = 7.3239 Å, c = 7.3239 Å
α = 84.48°, β = 71.93°, γ = 71.93°
Sites, in units of the cell vectors:
Pa (0.3366, 0.3268, 0.0000)
Pa (0.3366, 0.0000, 0.3268)
Pa (0.0000, 0.6699, 0.3301)
Pa (0.3301, 0.6699, 0.6699)
Pa (0.0000, 0.3301, 0.6699)
Pa (0.6634, 0.0000, 0.6732)
Pa (0.6634, 0.6732, 0.0000)
Pa (0.6699, 0.3301, 0.3301)
Ta (0.0000, 0.0000, 0.0000)

Calculated values
Raw total energy (eV/atom): -9.667
Symmetry: I4/mmm

***

Record 7
Pa2Ta: relaxed, GGA-PBE.

a = 3.6122 Å, b = 3.6122 Å, c = 5.7660 Å
α = 108.30°, β = 108.30°, γ = 90.03°
Sites, in units of the cell vectors:
Pa (0.1692, 0.1692, 0.3388)
Pa (0.8308, 0.8308, 0.6612)
Ta (0.5000, 0.5000, 0.0000)

Calculated values
Raw total energy (eV/atom): -10.183
Symmetry: I4/mmm

***

Record 8
PaTa5: relaxed, GGA-PBE.

a = 3.3383 Å, b = 4.8284 Å, c = 7.5380 Å
α = 108.68°, β = 90.00°, γ = 90.00°
Sites, in units of the cell vectors:
Ta (0.5000, 0.8338, 0.6677)
Ta (0.5000, 0.1662, 0.3323)
Ta (0.0000, 0.3279, 0.6558)
Ta (0.0000, 0.6721, 0.3442)
Ta (0.5000, 0.5000, 0.0000)
Pa (0.0000, 0.0000, 0.0000)

Calculated values
Raw total energy (eV/atom): -11.349
Symmetry: Cmmm

***

Record 9
Pa4Ta: relaxed, GGA-PBE.

a = 5.3056 Å, b = 5.3056 Å, c = 5.3056 Å
α = 90.00°, β = 90.00°, γ = 90.00°
Sites, in units of the cell vectors:
Pa (0.5000, 0.0000, 0.5000)
Pa (0.0000, 0.0000, 0.0000)
Pa (0.5000, 0.5000, 0.0000)
Pa (0.0000, 0.5000, 0.5000)
Ta (0.5000, 0.5000, 0.5000)

Calculated values
Raw total energy (eV/atom): -8.863
Symmetry: Pm-3m

***

Record 10
PaTa2: relaxed, GGA-PBE.

a = 5.6653 Å, b = 5.6653 Å, c = 5.6653 Å
α = 60.00°, β = 60.00°, γ = 60.00°
Sites, in units of the cell vectors:
Ta (0.6250, 0.6250, 0.6250)
Ta (0.1250, 0.6250, 0.6250)
Ta (0.6250, 0.1250, 0.6250)
Ta (0.6250, 0.6250, 0.1250)
Pa (0.0000, 0.0000, 0.0000)
Pa (0.2500, 0.2500, 0.2500)

Calculated values
Raw total energy (eV/atom): -10.959
Symmetry: Fd-3m

***

Record 11
PaTaTc4: relaxed, GGA-PBE.

a = 5.2935 Å, b = 5.2935 Å, c = 5.2935 Å
α = 60.00°, β = 60.00°, γ = 60.00°
Sites, in units of the cell vectors:
Tc (0.6241, 0.6241, 0.6241)
Tc (0.6241, 0.6241, 0.1277)
Tc (0.6241, 0.1277, 0.6241)
Tc (0.1277, 0.6241, 0.6241)
Ta (0.2500, 0.2500, 0.2500)
Pa (0.0000, 0.0000, 0.0000)

Calculated values
Raw total energy (eV/atom): -10.476
Symmetry: F-43m

***

Record 12
PaTaTc2: relaxed, GGA-PBE.

a = 3.2820 Å, b = 4.7118 Å, c = 4.7118 Å
α = 90.00°, β = 90.00°, γ = 90.00°
Sites, in units of the cell vectors:
Tc (0.0000, 0.5000, 0.0000)
Tc (0.0000, 0.0000, 0.5000)
Ta (0.5000, 0.0000, 0.0000)
Pa (0.5000, 0.5000, 0.5000)

Calculated values
Raw total energy (eV/atom): -10.781
Symmetry: P4/mmm

***

raw total energy of number 12 (PaTaTc2)?
-10.781 eV/atom

***

Among the records above, which one has the highest raw total energy?
SrPaZn17